(1)
Below is a geometry-optimized Rb2ZrH structure, with properties calculated at the PBE level.

Results
**Space group**: Fm-3m (225)
**Offset from the most stable computed form**: 627 meV per atom

Cell lengths 6.395, 6.395, 6.395 Å; angles 60.00, 60.00, 60.00 degrees
Site moments in Bohr magnetons follow the coordinates.
Fractional coordinates of all 4 atoms:
Rb: 0.750 0.750 0.750  0.03
Rb: 0.250 0.250 0.250  0.03
Zr: 0.500 0.500 0.500  1.73
H: 0.000 0.000 0.000  -0.02


(2)
Below is a geometry-optimized RbZr2H structure, with properties calculated at the PBE level.

Results
**Space group**: Fm-3m (225)
**Offset from the most stable computed form**: 1183 meV per atom

Cell lengths 5.029, 5.029, 5.029 Å; angles 60.00, 60.00, 60.00 degrees
Site moments in Bohr magnetons follow the coordinates.
Fractional coordinates of all 4 atoms:
H: 0.000 0.000 0.000  -0.02
Zr: 0.250 0.250 0.250  0.43
Zr: 0.750 0.750 0.750  0.43
Rb: 0.500 0.500 0.500  0.08


(3)
Below is a geometry-optimized Re3H structure, with properties calculated at the PBE level.

Results
**Space group**: Imm2 (44)
**Offset from the most stable computed form**: 0 meV per atom

Cell lengths 2.815, 4.668, 4.602 Å; angles 120.48, 107.81, 90.00 degrees
Fractional coordinates of all 4 atoms:
Re: 0.309 0.725 0.618
Re: 0.691 0.108 0.382
Re: 0.500 0.417 0.000
H: 0.000 0.917 0.000


(4)
Below is a geometry-optimized ReH2 structure, with properties calculated at the PBE level.

Results
**Space group**: I4/mmm (139)

Cell lengths 2.883, 2.883, 3.155 Å; angles 117.19, 117.19, 90.00 degrees
Fractional coordinates of all 3 atoms:
H: 0.365 0.365 0.731
H: 0.635 0.635 0.269
Re: 0.000 0.000 0.000


Number 1: final energy -8.5 eV/cell. Number 2: final energy -14.3 eV/cell. Number 3: final energy -39.3 eV/cell. Number 4: final energy -17.0 eV/cell.